Entry 1:
Ca2PmN after structural relaxation, computed with PBE.

Unit cell a=3.5431 b=3.5431 c=29.9868 alpha=90.00 beta=90.00 gamma=120.00
Space group R-3m (No. 166, hexagonal axes)
Asymmetric unit:
Ca (0.0000, 0.0000, 0.1243) [6 per cell]
Pm (0.0000, 0.0000, 0.0000) [3 per cell]
N (0.0000, 0.0000, 0.5000) [3 per cell]

Results
**Uncorrected formation energy**: -433 meV/atom


Entry 2:
LiScPaOs after structural relaxation, computed with PBE.

Unit cell a=6.7453 b=6.7453 c=6.7453 alpha=90.00 beta=90.00 gamma=90.00
Space group F-43m (No. 216)
Asymmetric unit:
Li (0.0000, 0.0000, 0.0000) [4 per cell]
Sc (0.2500, 0.2500, 0.7500) [4 per cell]
Pa (0.2500, 0.2500, 0.2500) [4 per cell]
Os (0.0000, 0.0000, 0.5000) [4 per cell]

Results
**DFT total energy**: -118.2 eV/cell


Entry 3:
K2Tl2CoH6 after structural relaxation, computed with PBE.

Unit cell a=6.3366 b=10.8098 c=5.4497 alpha=90.00 beta=98.20 gamma=90.00
Space group C2/m (No. 12)
Asymmetric unit:
K (0.0000, 0.1559, 0.0000) [4 per cell]
Tl (0.0000, 0.3352, 0.5000) [4 per cell]
Co (0.0000, 0.5000, 0.0000) [2 per cell]
H (0.1484, 0.3989, 0.1337) [8 per cell]
H (0.1556, 0.5000, 0.7953) [4 per cell]

Results
**DFT total energy**: -68.5 eV/cell


Entry 4:
Nd2TmCd3 after structural relaxation, computed with PBE.

Unit cell a=3.7687 b=3.7687 c=11.6340 alpha=90.00 beta=90.00 gamma=90.00
Space group P4/mmm (No. 123)
Asymmetric unit:
Nd (0.0000, 0.0000, 0.1723) [2 per cell]
Tm (0.0000, 0.0000, 0.5000) [1 per cell]
Cd (0.5000, 0.5000, 0.0000) [1 per cell]
Cd (0.5000, 0.5000, 0.3488) [2 per cell]

Results
**DFT total energy**: -18.6 eV/cell


Entry 5:
NdMg3Ga2 after structural relaxation, computed with PBE.

Unit cell a=16.4731 b=4.4840 c=8.2548 alpha=90.00 beta=117.62 gamma=90.00
Space group C2/m (No. 12)
Asymmetric unit:
Nd (0.1423, 0.0000, 0.0682) [4 per cell]
Mg (0.0443, 0.0000, 0.3731) [4 per cell]
Mg (0.1088, 0.5000, 0.7189) [4 per cell]
Mg (0.1863, 0.5000, 0.4578) [4 per cell]
Ga (0.0167, 0.5000, 0.1604) [4 per cell]
Ga (0.2079, 0.0000, 0.7295) [4 per cell]

Results
**ΔE to the lowest computed polymorph**: 0 meV per atom


Entry 6:
AcLaErZn after structural relaxation, computed with PBE.

Unit cell a=3.7236 b=3.7236 c=9.0629 alpha=90.00 beta=90.00 gamma=90.00
Space group P4mm (No. 99)
Asymmetric unit:
Ac (0.0000, 0.0000, 0.0000) [1 per cell]
La (0.5000, 0.5000, 0.6833) [1 per cell]
Er (0.5000, 0.5000, 0.2932) [1 per cell]
Zn (0.0000, 0.0000, 0.4637) [1 per cell]

Results
**ΔE to the lowest computed polymorph**: 0 meV per atom


Entry 7:
FeNiRu2 after structural relaxation, computed with PBE.

Unit cell a=2.7477 b=4.3334 c=4.4247 alpha=90.00 beta=90.00 gamma=90.00
Space group Pmmm (No. 47)
Asymmetric unit:
Fe (0.0000, 0.0000, 0.0000) [1 per cell]
Ni (0.5000, 0.0000, 0.5000) [1 per cell]
Ru (0.0000, 0.5000, 0.5000) [1 per cell]
Ru (0.5000, 0.5000, 0.0000) [1 per cell]

Results
**DFT total energy**: -31.5 eV/cell


Entry 8:
Y2GeCl after structural relaxation, computed with PBE.

Unit cell a=4.0896 b=4.0896 c=21.5979 alpha=90.00 beta=90.00 gamma=120.00
Space group R3m (No. 160, hexagonal axes)
Asymmetric unit:
Y (0.0000, 0.0000, 0.0000) [3 per cell]
Y (0.0000, 0.0000, 0.1934) [3 per cell]
Ge (0.0000, 0.0000, 0.5957) [3 per cell]
Cl (0.0000, 0.0000, 0.7679) [3 per cell]

Results
**ΔE to the lowest computed polymorph**: 69 meV per atom
**Uncorrected formation energy**: -1131 meV/atom


Entry 9:
Sr4Te3Se after structural relaxation, computed with PBE.

Unit cell a=8.1091 b=9.3658 c=8.0968 alpha=90.00 beta=109.49 gamma=90.00
Space group P2/c (No. 13)
Asymmetric unit:
Sr (0.2380, 0.1186, 0.0024) [4 per cell]
Sr (0.2464, 0.3681, 0.4926) [4 per cell]
Te (0.0000, 0.3737, 0.7500) [2 per cell]
Te (0.5000, 0.1241, 0.7500) [2 per cell]
Te (0.5000, 0.3741, 0.2500) [2 per cell]
Se (0.0000, 0.1227, 0.2500) [2 per cell]

Results
**Uncorrected formation energy**: -1815 meV/atom


Entry 10:
NiMoSe2 after structural relaxation, computed with PBE.

Unit cell a=3.3046 b=5.2726 c=7.6280 alpha=90.00 beta=90.00 gamma=90.00
Space group Cmmm (No. 65)
Asymmetric unit:
Ni (0.0000, 0.0000, 0.0000) [2 per cell]
Mo (0.0000, 0.0000, 0.5000) [2 per cell]
Se (0.0000, 0.5000, 0.2380) [4 per cell]

Results
**ΔE to the lowest computed polymorph**: 740 meV per atom
**Uncorrected formation energy**: 429 meV/atom


Entry 11:
NaPm2Os after structural relaxation, computed with PBE.

Unit cell a=4.1483 b=4.1483 c=27.5729 alpha=90.00 beta=90.00 gamma=120.00
Space group R-3m (No. 166, hexagonal axes)
Asymmetric unit:
Na (0.0000, 0.0000, 0.0000) [3 per cell]
Pm (0.0000, 0.0000, 0.2199) [6 per cell]
Os (0.0000, 0.0000, 0.5000) [3 per cell]

Results
**ΔE to the lowest computed polymorph**: 110 meV per atom


Entry 12:
La3TbTl2 after structural relaxation, computed with PBE.

Unit cell a=6.9963 b=5.3078 c=10.4709 alpha=90.00 beta=92.80 gamma=90.00
Space group P2_1/m (No. 11)
Asymmetric unit:
La (0.0546, 0.2500, 0.2989) [2 per cell]
La (0.1971, 0.2500, 0.9318) [2 per cell]
La (0.3226, 0.7500, 0.4286) [2 per cell]
Tb (0.4528, 0.7500, 0.7898) [2 per cell]
Tl (0.2060, 0.2500, 0.6189) [2 per cell]
Tl (0.2956, 0.7500, 0.1080) [2 per cell]

Results
**ΔE to the lowest computed polymorph**: 0 meV per atom


Entry 13:
SmTm3S6 after structural relaxation, computed with PBE.

Unit cell a=9.4172 b=13.4445 c=4.1493 alpha=90.00 beta=90.00 gamma=90.00
Space group Cmmm (No. 65)
Asymmetric unit:
Sm (0.0000, 0.0000, 0.0000) [2 per cell]
Tm (0.0000, 0.5000, 0.0000) [2 per cell]
Tm (0.2500, 0.2500, 0.5000) [4 per cell]
S (0.0000, 0.1462, 0.5000) [4 per cell]
S (0.2040, 0.3743, 0.0000) [8 per cell]

Results
**Uncorrected formation energy**: -1789 meV/atom


Entry 14:
La3Er4Sc2 after structural relaxation, computed with PBE.

Unit cell a=6.3152 b=9.7256 c=9.7350 alpha=82.27 beta=78.46 gamma=78.43
Space group P-1 (No. 2)
Asymmetric unit:
La (0.0012, 0.0410, 0.1669) [2 per cell]
La (0.2500, 0.4646, 0.5349) [2 per cell]
La (0.4992, 0.1675, 0.0423) [2 per cell]
Er (0.0108, 0.6926, 0.1162) [2 per cell]
Er (0.0996, 0.1440, 0.5010) [2 per cell]
Er (0.4043, 0.4993, 0.8538) [2 per cell]
Er (0.4892, 0.8817, 0.3059) [2 per cell]
Sc (0.1063, 0.3633, 0.2125) [2 per cell]
Sc (0.3911, 0.7896, 0.6355) [2 per cell]

Results
**DFT total energy**: -88.7 eV/cell


Entry 15:
Ca2ErPd4 after structural relaxation, computed with PBE.

Unit cell a=7.3872 b=7.6438 c=11.0557 alpha=90.00 beta=90.00 gamma=90.00
Space group Fmmm (No. 69)
Asymmetric unit:
Ca (0.0000, 0.0000, 0.1863) [8 per cell]
Er (0.0000, 0.0000, 0.5000) [4 per cell]
Pd (0.2500, 0.2500, 0.1235) [16 per cell]

Results
**DFT total energy**: -133.8 eV/cell


Entry 16:
Li2Bi2Se after structural relaxation, computed with PBE.

Unit cell a=6.6994 b=6.6994 c=5.3708 alpha=90.00 beta=90.00 gamma=90.00
Space group P4/mbm (No. 127)
Asymmetric unit:
Li (0.1586, 0.3414, 0.0000) [4 per cell]
Bi (0.1637, 0.6637, 0.5000) [4 per cell]
Se (0.0000, 0.0000, 0.0000) [2 per cell]

Results
**Uncorrected formation energy**: -331 meV/atom


Entry 17:
Tb5Si2Au2 after structural relaxation, computed with PBE.

Unit cell a=15.5053 b=7.5479 c=7.5333 alpha=90.00 beta=90.00 gamma=90.00
Space group Cmce (No. 64)
Asymmetric unit:
Tb (0.0000, 0.0000, 0.0000) [4 per cell]
Tb (0.1339, 0.1784, 0.3278) [16 per cell]
Si (0.0000, 0.1184, 0.6199) [8 per cell]
Au (0.2081, 0.0000, 0.0000) [8 per cell]

Results
**Uncorrected formation energy**: -757 meV/atom


Entry 18:
LaZn2Co after structural relaxation, computed with PBE.

Unit cell a=5.2086 b=12.7436 c=4.4413 alpha=90.00 beta=90.00 gamma=90.00
Space group Cmcm (No. 63)
Asymmetric unit:
La (0.0000, 0.2005, 0.2500) [4 per cell]
Zn (0.2418, 0.4438, 0.2500) [8 per cell]
Co (0.0000, 0.3801, 0.7500) [4 per cell]

Results
**DFT total energy**: -61.2 eV/cell


Entry 19:
Na2Cd5Ag5 after structural relaxation, computed with PBE.

Unit cell a=4.8039 b=5.7359 c=9.9628 alpha=90.00 beta=90.00 gamma=90.00
Space group Pmmm (No. 47)
Asymmetric unit:
Na (0.0000, 0.0000, 0.0000) [1 per cell]
Na (0.0000, 0.5000, 0.5000) [1 per cell]
Cd (0.0000, 0.0000, 0.3236) [2 per cell]
Cd (0.0000, 0.5000, 0.1672) [2 per cell]
Cd (0.5000, 0.0000, 0.5000) [1 per cell]
Ag (0.5000, 0.2512, 0.2483) [4 per cell]
Ag (0.5000, 0.5000, 0.0000) [1 per cell]

Results
**DFT total energy**: -22.3 eV/cell


Entry 20:
CsRb2CrSe4 after structural relaxation, computed with PBE.

Unit cell a=8.5252 b=8.5252 c=9.0353 alpha=90.00 beta=90.00 gamma=90.00
Space group I-42m (No. 121)
Asymmetric unit:
Cs (0.0000, 0.0000, 0.0000) [2 per cell]
Rb (0.0000, 0.5000, 0.2500) [4 per cell]
Cr (0.0000, 0.0000, 0.5000) [2 per cell]
Se (0.1560, 0.1560, 0.6414) [8 per cell]

Results
**Uncorrected formation energy**: -835 meV/atom